Entry 1:
Computed, not measured: a geometry-optimized MgNb2H4 structure at the GGA-PBE level of DFT.

Calculated values
ΔE to the lowest computed polymorph, eV per atom: 0.021
SG: No. 12
E_tot, Ha/atom: -0.190

Cell lengths 3.2133, 3.2133, 7.7817 Å; angles 91.87, 91.87, 59.80 degrees
Last column: nearest neighbours and their distance in Å.
Sites, in units of the cell vectors:
Mg  0.0000  0.0000  0.0000  2 H 1.99
Nb  0.3272  0.3272  0.3375  7 H 1.93-1.96
Nb  0.6728  0.6728  0.6625  7 H 1.93-1.96
H  0.0100  0.0100  0.7444  3 Nb 1.96, 1 Mg 1.99
H  0.3361  0.3361  0.5862  4 Nb 1.93-1.95
H  0.6639  0.6639  0.4138  4 Nb 1.93-1.95
H  0.9900  0.9900  0.2556  3 Nb 1.96, 1 Mg 1.99



Entry 2:
Computed, not measured: a geometry-optimized NiMo4AuN2 structure at the GGA-PBE level of DFT.

Calculated values
SG: No. 187
E_tot, Ha/atom: -0.315

Cell lengths 2.8295, 2.8295, 14.7797 Å; angles 90.00, 90.00, 120.00 degrees
Last column: nearest neighbours and their distance in Å.
Sites, in units of the cell vectors:
Ni  0.0000  0.0000  0.0000  6 Mo 2.68, 6 Ni 2.83
Mo  0.0000  0.0000  0.3339  3 N 2.14
Mo  0.0000  0.0000  0.6661  3 N 2.14
Mo  0.6667  0.3333  0.1438  3 N 2.17
Mo  0.6667  0.3333  0.8562  3 N 2.17
Au  0.6667  0.3333  0.5000  6 Au 2.83, 6 Mo 2.95
N  0.3333  0.6667  0.2401  6 Mo 2.14-2.17
N  0.3333  0.6667  0.7599  6 Mo 2.14-2.17



Entry 3:
Computed, not measured: a geometry-optimized PrAlCdNi structure at the GGA-PBE level of DFT.

Calculated values
ΔE to the lowest computed polymorph, eV per atom: 0.000
SG: No. 12
E_tot, Ha/atom: -0.154

Cell lengths 5.4315, 5.4315, 7.7257 Å; angles 90.72, 90.72, 45.60 degrees
Last column: nearest neighbours and their distance in Å.
Sites, in units of the cell vectors:
Pr  0.0602  0.0602  0.2593  3 Ni 2.83-3.03, 1 Al 3.16
Pr  0.9398  0.9398  0.7407  3 Ni 2.83-3.03, 1 Al 3.16
Al  0.3434  0.3434  0.4448  3 Ni 2.45-2.54
Al  0.6566  0.6566  0.5552  3 Ni 2.45-2.54
Cd  0.3505  0.3505  0.0529  3 Ni 2.85-2.87, 3 Cd 3.02-3.11, 1 Al 3.03
Cd  0.6495  0.6495  0.9471  3 Ni 2.85-2.87, 3 Cd 3.02-3.11, 1 Al 3.03
Ni  0.2219  0.2219  0.7186  3 Al 2.45-2.54
Ni  0.7781  0.7781  0.2814  3 Al 2.45-2.54



Entry 4:
Computed, not measured: a geometry-optimized TbDyAl4Cu2 structure at the GGA-PBE level of DFT.

Calculated values
SG: No. 38
E_tot, Ha/atom: -0.162

Cell lengths 6.7800, 5.4847, 5.4847 Å; angles 45.36, 90.00, 90.00 degrees
Last column: nearest neighbours and their distance in Å.
Sites, in units of the cell vectors:
Tb  0.0000  0.0000  0.0000  3 Cu 2.87-3.04, 6 Al 3.03-3.21
Dy  0.5000  0.8553  0.8553  3 Cu 2.87-3.04, 6 Al 3.03-3.21
Al  0.1969  0.2886  0.2886  3 Cu 2.55-2.61, 1 Al 2.67
Al  0.3036  0.5669  0.5669  3 Cu 2.55-2.60, 1 Al 2.66
Al  0.6964  0.5669  0.5669  3 Cu 2.55-2.60, 1 Al 2.66
Al  0.8031  0.2886  0.2886  3 Cu 2.55-2.61, 1 Al 2.67
Cu  0.0000  0.7161  0.7161  6 Al 2.55-2.61
Cu  0.5000  0.1391  0.1391  6 Al 2.55-2.60